1.
A geometry-optimized CdAsPt2 structure. Source: Alexandria via LeMat-Bulk, functional PBE.

abc: 6.660 4.833 3.038
angles: 89.85 63.10 123.15
Fractional positions:
As 0.000 0.500 0.500
Pt 0.000 0.000 0.000
Pt 0.500 0.000 0.500
Cd 0.500 0.500 0.000

Output
The calculation puts the density of states at the Fermi level at 0.389 states/eV/atom. Its space group is No. 12.

***

2.
A geometry-optimized CdAsPt2 structure. Source: Alexandria via LeMat-Bulk, functional PBE.

abc: 8.839 8.839 8.839
angles: 19.76 19.76 19.76
Fractional positions:
As 0.250 0.250 0.250
Pt 0.994 0.994 0.994
Pt 0.506 0.506 0.506
Cd 0.750 0.750 0.750

Output
The calculation puts the density of states at the Fermi level at 0.446 states/eV/atom. Its space group is No. 166.

***

| no. | energy of formation (eV per atom) | magnetic moment (μB per atom) |
| --- | --- | --- |
| 1 | -0.12 | 0.00 |
| 2 | -0.14 | 0.00 |